# GGA-PBE Zn4CuSe, optimized geometry
data_Zn4CuSe
_cell_length_a 7.310
_cell_length_b 7.310
_cell_length_c 7.310
_cell_angle_alpha 90.00
_cell_angle_beta 90.00
_cell_angle_gamma 90.00
_space_group_name_H-M_alt 'F -4 3 m'
_space_group_IT_number 216
_space_group_name_Hall 'F -4 2 3'
loop_
_atom_site_label
_atom_site_fract_x
_atom_site_fract_y
_atom_site_fract_z
Zn1 0.125 0.125 0.125
Cu1 0.250 0.250 0.750
Se1 0.000 0.000 0.500
# **Density**: 6.9 g cm⁻³
# **Volume**: 390.7 Å³/cell
# **Total DFT energy (no corrections)**: -1.876 eV per atom
# **E_form (uncorrected)**: 0.2367 eV/atom
# **Density of states at the Fermi level**: 1.45 states/eV/f.u.

# GGA-PBE ZnCuSe2, optimized geometry
data_ZnCuSe2
_cell_length_a 13.182
_cell_length_b 3.965
_cell_length_c 6.918
_cell_angle_alpha 90.00
_cell_angle_beta 100.83
_cell_angle_gamma 90.00
_space_group_name_H-M_alt 'C 1 m 1'
_space_group_IT_number 8
loop_
_space_group_symop_operation_xyz
'x,y,z'
'x,-y,z'
'x+1/2,y+1/2,z'
'x+1/2,-y+1/2,z'
loop_
_atom_site_label
_atom_site_fract_x
_atom_site_fract_y
_atom_site_fract_z
Zn1 0.000 0.000 0.000
Zn2 0.247 0.000 0.744
Cu1 0.250 0.500 0.253
Cu2 0.496 0.000 0.498
Se1 0.055 0.000 0.678
Se2 0.065 0.500 0.198
Se3 0.309 0.500 0.943
Se4 0.312 0.000 0.430
# **Density**: 5.4 g cm⁻³
# **Volume**: 355.2 Å³/cell
# **Total DFT energy (no corrections)**: -3.472 eV per atom
# **E_form (uncorrected)**: -0.3871 eV/atom
# **Density of states at the Fermi level**: 2.53 states/eV/f.u.

# GGA-PBE ZnCuSe2, optimized geometry
data_ZnCuSe2
_cell_length_a 3.985
_cell_length_b 7.988
_cell_length_c 5.576
_cell_angle_alpha 90.00
_cell_angle_beta 90.00
_cell_angle_gamma 90.00
_space_group_name_H-M_alt 'P m n 21'
_space_group_IT_number 31
loop_
_space_group_symop_operation_xyz
'x,y,z'
'-x+1/2,-y,z+1/2'
'-x,y,z'
'x+1/2,-y,z+1/2'
loop_
_atom_site_label
_atom_site_fract_x
_atom_site_fract_y
_atom_site_fract_z
Zn1 0.000 0.129 0.000
Cu1 0.000 0.622 0.012
Se1 0.000 0.384 0.748
Se2 0.000 0.868 0.762
# **Density**: 5.4 g cm⁻³
# **Volume**: 177.5 Å³/cell
# **Total DFT energy (no corrections)**: -3.474 eV per atom
# **E_form (uncorrected)**: -0.3888 eV/atom
# **Density of states at the Fermi level**: 2.71 states/eV/f.u.

# GGA-PBE ZnCuSe2, optimized geometry
data_ZnCuSe2
_cell_length_a 3.9564
_cell_length_b 3.9564
_cell_length_c 19.4053
_cell_angle_alpha 90.00
_cell_angle_beta 90.00
_cell_angle_gamma 120.00
_space_group_name_H-M_alt 'R 3 m'
_space_group_IT_number 160
_space_group_name_Hall 'R 3 -2"'
loop_
_atom_site_label
_atom_site_fract_x
_atom_site_fract_y
_atom_site_fract_z
Zn1 0.0000 0.0000 0.0000
Cu1 0.0000 0.0000 0.7803
Se1 0.0000 0.0000 0.2907
Se2 0.0000 0.0000 0.4763
# **Density**: 5.4 g cm⁻³
# **Volume**: 263.1 Å³/cell
# **Total DFT energy (no corrections)**: -3.220 eV per atom
# **E_form (uncorrected)**: -0.1350 eV/atom
# **Density of states at the Fermi level**: 1.85 states/eV/f.u.

Question: What is the volume in the first record?
Answer: 390.7 Å³/cell

Question: Look up the density of states at the Fermi level of the second one.
Answer: 2.53 states/eV/f.u.

Question: Which of these has the highest density of states at the Fermi level?
Answer: number 3

Question: Number 3 is which compound?
Answer: ZnCuSe2